No. 1
4
Lattice="-2.157 2.157 3.648 2.157 -2.157 3.648 2.157 2.157 -3.648" Properties=species:S:1:pos:R:3 comment="KTcIr2 (PBE, relaxed)" polymorph_energy_ev_per_atom=0.872 pbc="T T T"
K 0.000 0.000 0.000
Tc 0.000 0.000 3.648
Ir 2.157 0.000 1.824
Ir 0.000 2.157 1.824

---

No. 2
18
Lattice="7.536 0.000 0.000 0.000 4.450 0.000 -0.176 0.000 13.296" Properties=species:S:1:pos:R:3 comment="TbSmRu (PBE, relaxed)" polymorph_energy_ev_per_atom=0.000 pbc="T T T"
Tb 0.128 1.113 1.215
Tb 1.047 1.113 6.063
Tb 2.635 3.338 10.508
Tb 4.726 1.113 2.788
Tb 6.313 3.338 7.233
Tb 7.233 3.338 12.081
Sm 0.042 1.113 9.485
Sm 2.721 3.338 1.079
Sm 3.490 3.338 5.092
Sm 3.870 1.113 8.204
Sm 4.640 1.113 12.217
Sm 7.319 3.338 3.811
Ru 1.636 1.113 12.118
Ru 1.723 3.338 7.713
Ru 1.973 1.113 3.332
Ru 5.388 3.338 9.964
Ru 5.638 1.113 5.583
Ru 5.725 3.338 1.178

---

No. 3
12
Lattice="5.416 0.000 0.000 -2.708 4.690 0.000 0.000 0.000 8.838" Properties=species:S:1:pos:R:3 comment="DyRe2 (PBE, relaxed)" total_energy_ev_per_atom=-10.055 pbc="T T T"
Dy 0.000 3.127 0.548
Dy 0.000 3.127 3.871
Dy 2.708 1.563 4.967
Dy 2.708 1.563 8.290
Re 0.000 0.000 0.000
Re 0.000 0.000 4.419
Re 0.000 1.605 6.629
Re -1.318 3.888 6.629
Re 1.390 0.803 2.210
Re 1.318 3.888 6.629
Re 4.026 0.803 2.210
Re 2.708 3.085 2.210

---

No. 4
4
Lattice="0.000 4.099 4.099 4.099 0.000 4.099 4.099 4.099 0.000" Properties=species:S:1:pos:R:3 comment="CaCeNdEr (PBE, relaxed)" total_energy_ev_per_atom=-4.075 pbc="T T T"
Ca 0.000 0.000 0.000
Ce 4.099 4.099 4.099
Nd 6.149 6.149 6.149
Er 2.050 2.050 2.050

---

no.,total magnetic moment (Bohr magnetons per cell),density of states at the Fermi level (states/eV/f.u.)
1,1.21,4.4
2,0.00,1.4
3,0.00,1.9
4,2.15,10.6